This record from the Alexandria database describes a geometry-optimized SrZn2N2 structure. The functional is GGA-PBEsol. Values from VASP.

Structure (Quantum ESPRESSO input):
```
&SYSTEM
  ibrav = 0, nat = 15, ntyp = 3
/
ATOMIC_SPECIES
Sr 87.62 Sr.upf
Zn 65.41 Zn.upf
N 14.01 N.upf
CELL_PARAMETERS angstrom
6.0029 0.0048 0.0027
-2.7027 5.3600 0.0027
0.0016 0.0025 6.2357
ATOMIC_POSITIONS angstrom
Sr 0.1181 3.6266 3.1205
Sr 3.1837 1.7408 3.1205
Sr 1.6501 2.6824 0.0027
Zn 4.1210 0.1115 0.8639
Zn -1.7589 3.7285 0.8639
Zn -0.8193 5.2559 5.3771
Zn 5.0606 1.6389 5.3771
Zn 0.4356 0.7081 2.1935
Zn 2.8661 4.6593 4.0475
N 2.1006 0.1510 1.2235
N -0.8125 1.9429 1.2235
N 1.2011 5.2164 5.0175
N 4.1142 3.4245 5.0175
N 2.5187 4.0945 2.0152
N 0.7830 1.2729 4.2258
```

VASP energy: -4.7757 eV per atom
uncorrected formation energy: -0.364 eV/atom
size of the total moment: 0.00 μB per formula unit
space group: C2/m (12)

=====

This record from the Alexandria database describes a geometry-optimized SrZn2N2 structure. The functional is GGA-PBEsol. Values from VASP.

Structure (Quantum ESPRESSO input):
```
&SYSTEM
  ibrav = 0, nat = 5, ntyp = 3
/
ATOMIC_SPECIES
Sr 87.62 Sr.upf
Zn 65.41 Zn.upf
N 14.01 N.upf
CELL_PARAMETERS angstrom
3.5131 0.0000 0.0000
-1.7566 3.0425 0.0000
0.0000 0.0000 6.1980
ATOMIC_POSITIONS angstrom
Sr 0.0000 0.0000 3.0990
Zn 0.0000 2.0283 5.3945
Zn 1.7566 1.0142 0.8035
N 0.0000 2.0283 1.3921
N 1.7566 1.0142 4.8059
```

VASP energy: -4.8108 eV per atom
uncorrected formation energy: -0.399 eV/atom
size of the total moment: 0.00 μB per formula unit
space group: P-3m1 (164)

=====

This record from the Alexandria database describes a geometry-optimized Sr3ZnN structure. The functional is GGA-PBEsol. Values from VASP.

Structure (Quantum ESPRESSO input):
```
&SYSTEM
  ibrav = 0, nat = 5, ntyp = 3
/
ATOMIC_SPECIES
Sr 87.62 Sr.upf
Zn 65.41 Zn.upf
N 14.01 N.upf
CELL_PARAMETERS angstrom
-1.0378 -4.5727 2.2178
5.0069 -0.5318 1.2465
-0.8715 2.3902 4.5203
ATOMIC_POSITIONS angstrom
Sr 2.5034 -0.2659 0.6232
Sr -0.4357 1.1951 2.2601
Sr -0.5189 -2.2863 1.1089
Zn 1.5488 -1.3571 3.9923
N 0.0000 0.0000 0.0000
```

VASP energy: -3.4844 eV per atom
DOS(E_F): 3.46 states/eV/cell
uncorrected formation energy: -0.358 eV/atom
size of the total moment: 0.00 μB per formula unit
space group: Pm-3m (221)

=====

This record from the Alexandria database describes a geometry-optimized SrZrN2 structure. The functional is GGA-PBEsol. Values from VASP.

Structure (Quantum ESPRESSO input):
```
&SYSTEM
  ibrav = 0, nat = 8, ntyp = 3
/
ATOMIC_SPECIES
Sr 87.62 Sr.upf
Zr 91.22 Zr.upf
N 14.01 N.upf
CELL_PARAMETERS angstrom
5.7929 0.0000 0.0000
-2.8965 5.0667 0.1071
0.0000 3.2097 4.8224
ATOMIC_POSITIONS angstrom
Sr 0.0000 3.3358 1.2591
Sr 2.8965 1.6049 2.4112
Zr 2.8965 4.9406 3.6703
Zr 0.0000 0.0000 0.0000
N 1.8412 5.0036 1.8887
N -1.8412 6.6085 4.2999
N 4.3447 3.4905 3.3679
N 1.4482 1.4502 0.3024
```

VASP energy: -8.3779 eV per atom
DOS(E_F): 0.00 states/eV/cell
uncorrected formation energy: -1.382 eV/atom
size of the total moment: 0.00 μB per formula unit
space group: I-42d (122)

=====

This record from the Alexandria database describes a geometry-optimized SrZrN2 structure. The functional is GGA-PBEsol. Values from VASP.

Structure (Quantum ESPRESSO input):
```
&SYSTEM
  ibrav = 0, nat = 4, ntyp = 3
/
ATOMIC_SPECIES
Sr 87.62 Sr.upf
Zr 91.22 Zr.upf
N 14.01 N.upf
CELL_PARAMETERS angstrom
-2.7571 1.8316 0.5215
-2.1152 -0.8209 2.4659
1.3641 3.7791 4.7050
ATOMIC_POSITIONS angstrom
Sr 0.0000 0.0000 0.0000
Zr -1.7541 2.3949 3.8462
N -0.7297 1.3672 2.1060
N -2.7785 3.4227 5.5864
```

VASP energy: -8.4857 eV per atom
DOS(E_F): 0.02 states/eV/cell
uncorrected formation energy: -1.490 eV/atom
size of the total moment: 0.00 μB per formula unit
space group: R-3m (166)

=====

This record from the Alexandria database describes a geometry-optimized Ta2N structure. The functional is GGA-PBEsol. Values from VASP.

Structure (Quantum ESPRESSO input):
```
&SYSTEM
  ibrav = 0, nat = 9, ntyp = 2
/
ATOMIC_SPECIES
Ta 180.95 Ta.upf
N 14.01 N.upf
CELL_PARAMETERS angstrom
-4.8385 0.7717 -0.4447
-0.8453 -2.7651 4.3990
0.8038 5.1954 0.2704
ATOMIC_POSITIONS angstrom
Ta -1.4779 -0.7309 1.3564
Ta -0.9282 1.9226 -0.0198
Ta -1.2238 1.8110 3.0030
Ta -4.2059 -1.2625 2.5979
Ta -3.1065 4.0445 -0.1545
Ta -3.6562 1.3910 1.2217
N -2.1652 2.9278 1.4243
N -2.7148 0.2742 2.8005
N 0.0000 0.0000 0.0000
```

VASP energy: -12.2818 eV per atom
DOS(E_F): 3.13 states/eV/cell
uncorrected formation energy: -1.072 eV/atom
size of the total moment: 0.00 μB per formula unit
space group: P-31m (162)

=====

This record from the Alexandria database describes a geometry-optimized Ta4N5 structure. The functional is GGA-PBEsol. Values from VASP.

Structure (Quantum ESPRESSO input):
```
&SYSTEM
  ibrav = 0, nat = 9, ntyp = 2
/
ATOMIC_SPECIES
N 14.01 N.upf
Ta 180.95 Ta.upf
CELL_PARAMETERS angstrom
4.2582 0.0000 0.0000
2.1291 4.8285 0.0000
2.1291 0.0000 4.8285
ATOMIC_POSITIONS angstrom
N 2.1291 0.0000 0.0000
N 2.1291 2.9096 1.0359
N 4.2582 3.7926 2.9096
N 4.2582 1.0359 1.9188
N 6.3873 1.9188 3.7926
Ta 2.1291 0.8658 1.8814
Ta 4.2582 2.9471 0.8658
Ta 4.2582 1.8814 3.9627
Ta 6.3873 3.9627 2.9471
```

VASP energy: -11.6054 eV per atom
DOS(E_F): 1.13 states/eV/cell
uncorrected formation energy: -1.290 eV/atom
size of the total moment: 0.00 μB per formula unit
space group: I4/m (87)

=====

This record from the Alexandria database describes a geometry-optimized Ta5N6 structure. The functional is GGA-PBEsol. Values from VASP.

Structure (Quantum ESPRESSO input):
```
&SYSTEM
  ibrav = 0, nat = 22, ntyp = 2
/
ATOMIC_SPECIES
Ta 180.95 Ta.upf
N 14.01 N.upf
CELL_PARAMETERS angstrom
5.1714 0.0000 0.0000
-2.5857 4.4786 0.0000
0.0000 0.0000 10.3536
ATOMIC_POSITIONS angstrom
Ta 0.8397 1.4545 7.7652
Ta -1.7460 3.0241 7.7652
Ta 3.4919 0.0000 7.7652
Ta 1.7460 3.0241 2.5884
Ta -0.8397 1.4545 2.5884
Ta 1.6795 0.0000 2.5884
Ta 2.5857 1.4929 5.1768
Ta 0.0000 2.9857 5.1768
Ta 0.0000 2.9857 0.0000
Ta 2.5857 1.4929 0.0000
N 0.8757 1.5167 1.2635
N -1.7100 2.9619 1.2635
N 3.4201 0.0000 1.2635
N 1.7100 2.9619 9.0900
N -0.8757 1.5167 9.0900
N 1.7513 0.0000 9.0900
N 1.7100 2.9619 6.4403
N -0.8757 1.5167 6.4403
N 1.7513 0.0000 6.4403
N 0.8757 1.5167 3.9132
N -1.7100 2.9619 3.9132
N 3.4201 0.0000 3.9132
```

VASP energy: -11.6898 eV per atom
DOS(E_F): 7.04 states/eV/cell
uncorrected formation energy: -1.334 eV/atom
size of the total moment: 0.00 μB per formula unit
space group: P6_3/mcm (193)

=====

This record from the Alexandria database describes a geometry-optimized Ta2N3 structure. The functional is GGA-PBEsol. Values from VASP.

Structure (Quantum ESPRESSO input):
```
&SYSTEM
  ibrav = 0, nat = 20, ntyp = 2
/
ATOMIC_SPECIES
Ta 180.95 Ta.upf
N 14.01 N.upf
CELL_PARAMETERS angstrom
-2.8987 -0.5161 0.4294
1.6627 -7.6562 2.0215
0.7619 2.2317 7.8254
ATOMIC_POSITIONS angstrom
Ta 0.4338 -5.3453 1.6579
Ta -0.9078 -0.5954 8.6185
Ta -1.4973 -0.7513 4.4523
Ta 1.0233 -5.1894 5.8241
Ta -0.5686 0.2703 1.6406
Ta 0.0947 -6.2110 8.6358
Ta -1.1024 -3.5692 3.7310
Ta 0.6284 -2.3715 6.5455
N 0.2453 -1.9889 4.4193
N -0.7193 -3.9517 5.8571
N -0.6836 -6.9860 2.4509
N 0.2097 1.0453 7.8255
N 0.1166 -3.3086 1.9643
N -0.5906 -2.6321 8.3121
N -0.3047 -6.8186 5.2101
N -0.1693 0.8779 5.0663
N 0.6548 -4.8786 3.7105
N -1.1288 -1.0621 6.5659
N -1.6703 -1.4387 2.4580
N 1.1963 -4.5019 7.8184
```

VASP energy: -11.3875 eV per atom
DOS(E_F): 5.48 states/eV/cell
uncorrected formation energy: -1.251 eV/atom
size of the total moment: 0.00 μB per formula unit
space group: Pnma (62)

=====

This record from the Alexandria database describes a geometry-optimized Ta3N5 structure. The functional is GGA-PBEsol. Values from VASP.

Structure (Quantum ESPRESSO input):
```
&SYSTEM
  ibrav = 0, nat = 16, ntyp = 2
/
ATOMIC_SPECIES
Ta 180.95 Ta.upf
N 14.01 N.upf
CELL_PARAMETERS angstrom
-2.3782 -2.6047 -1.6241
-0.6286 0.0818 5.4312
-7.2323 7.1929 -0.9454
ATOMIC_POSITIONS angstrom
Ta -7.7077 3.3575 1.2600
Ta -4.5309 3.6962 0.7068
Ta -5.7082 0.9738 2.1548
Ta -2.9492 -1.7702 2.5155
Ta -2.5314 1.3125 1.6017
Ta -7.2899 6.4402 0.3462
N -7.3202 2.0521 2.7860
N -4.2094 2.3160 2.4495
N -6.0297 2.3540 0.4122
N -1.6522 -0.2273 2.7838
N -3.9579 -0.1493 1.3931
N -8.5869 4.8973 0.0779
N -9.1996 3.9213 2.5403
N -1.0395 0.7487 0.3214
N -6.2812 4.8193 1.4686
N -2.9189 2.6179 0.0757
```

VASP energy: -11.2136 eV per atom
uncorrected formation energy: -1.178 eV/atom
size of the total moment: 0.00 μB per formula unit
space group: Cmcm (63)